(1)
## TlGeTe2 (PBE-GGA)

Data for TlGeTe2 after structural relaxation.

## Properties
ΔE_f (raw) = -114 meV/atom
total magnetic moment = 0.000 μB/atom
E above lowest polymorph = 27.0 meV/atom
crystal system = monoclinic
ρ = 7.22 g cm⁻³

Cell and atoms, written as extended XYZ:
```
4
Lattice="4.1755 -0.0268 -0.0059 2.0645 3.6295 -0.0059 2.0690 1.1945 8.0455" Properties=species:S:1:pos:R:3 pbc="T T T"
Te 2.0691 1.1946 1.6695
Ge 6.2254 3.5942 8.0245
Tl 4.1703 2.4077 4.0160
Te 2.0677 1.1938 6.3859
```

=====

(2)
## Nb3ReSn (PBE-GGA)

Data for Nb3ReSn after structural relaxation.

## Properties
DFT formation energy = 437.8 kJ/mol of formula units
total magnetic moment = 0.000 μB/atom
E above lowest polymorph = 0.0 meV/atom
crystal system = cubic
ρ = 8.36 g cm⁻³

Cell and atoms, written as extended XYZ:
```
5
Lattice="-4.7288 0.6417 1.0032 -1.0019 -4.3643 -1.9311 0.6437 -2.0788 4.3640" Properties=species:S:1:pos:R:3 pbc="T T T"
Sn -2.5435 -2.9007 1.7180
Nb -2.3644 0.3209 0.5016
Nb -0.5010 -2.1821 -0.9656
Re 0.0000 0.0000 0.0000
Nb 0.3219 -1.0394 2.1820
```